No. 1
Density functional theory data (PBE-GGA) for crystalline Cs2CuMoBr6 at its relaxed geometry.

Calculated values
Uncorrected formation energy (eV/atom): -0.939
Crystal system: cubic

a b c (Å): 7.608 7.608 7.608
angles (deg): 60.00 60.00 60.00
Positions (direct):
Cs 0.250 0.250 0.250
Cs 0.750 0.750 0.750
Cu 0.000 0.000 0.000
Mo 0.500 0.500 0.500
Br 0.254 0.254 0.746
Br 0.254 0.746 0.254
Br 0.254 0.746 0.746
Br 0.746 0.254 0.254
Br 0.746 0.254 0.746
Br 0.746 0.746 0.254


No. 2
Density functional theory data (PBE-GGA) for crystalline Rb8BiO3 at its relaxed geometry.

Calculated values
Uncorrected formation energy (eV/atom): -0.590
Crystal system: cubic

a b c (Å): 7.481 7.481 7.481
angles (deg): 90.00 90.00 90.00
Positions (direct):
Rb 0.231 0.231 0.231
Rb 0.231 0.231 0.769
Rb 0.231 0.769 0.231
Rb 0.231 0.769 0.769
Rb 0.769 0.231 0.231
Rb 0.769 0.231 0.769
Rb 0.769 0.769 0.231
Rb 0.769 0.769 0.769
Bi 0.500 0.500 0.500
O 0.000 0.000 0.500
O 0.000 0.500 0.000
O 0.500 0.000 0.000


No. 3
Density functional theory data (PBE-GGA) for crystalline Nd2Sn8Rh at its relaxed geometry.

Calculated values
Crystal system: tetragonal
DFT total energy (eV/atom): -4.89

a b c (Å): 4.752 4.752 12.573
angles (deg): 90.00 90.00 90.00
Positions (direct):
Nd 0.000 0.000 0.186
Nd 0.000 0.000 0.814
Sn 0.000 0.500 0.000
Sn 0.000 0.500 0.379
Sn 0.000 0.500 0.621
Sn 0.500 0.000 0.000
Sn 0.500 0.000 0.379
Sn 0.500 0.000 0.621
Sn 0.500 0.500 0.196
Sn 0.500 0.500 0.804
Rh 0.000 0.000 0.500


No. 4
Density functional theory data (PBE-GGA) for crystalline RuSF3 at its relaxed geometry.

Calculated values
Uncorrected formation energy (eV/atom): -0.312
Excess energy over the best structure of this formula in the dataset (meV/atom): 0
Crystal system: cubic

a b c (Å): 4.105 4.105 4.105
angles (deg): 90.00 90.00 90.00
Positions (direct):
Ru 0.000 0.000 0.000
S 0.500 0.500 0.500
F 0.000 0.000 0.500
F 0.000 0.500 0.000
F 0.500 0.000 0.000


No. 5
Density functional theory data (PBE-GGA) for crystalline YZnGe at its relaxed geometry.

Calculated values
Crystal system: tetragonal
DFT total energy (eV/atom): -4.34

a b c (Å): 5.037 5.037 5.037
angles (deg): 133.17 133.17 68.39
Positions (direct):
Y 0.000 0.000 0.000
Zn 0.658 0.658 0.000
Ge 0.350 0.350 0.000


No. 6
Density functional theory data (PBE-GGA) for crystalline YTm2Ni2 at its relaxed geometry.

Calculated values
Excess energy over the best structure of this formula in the dataset (meV/atom): 34
Crystal system: monoclinic

a b c (Å): 5.937 5.937 5.423
angles (deg): 103.19 103.19 37.34
Positions (direct):
Y 0.000 0.000 0.000
Tm 0.351 0.351 0.410
Tm 0.649 0.649 0.590
Ni 0.285 0.285 0.885
Ni 0.715 0.715 0.115


No. 7
Density functional theory data (PBE-GGA) for crystalline K2LiNdF6 at its relaxed geometry.

Calculated values
Uncorrected formation energy (eV/atom): -3.282
Excess energy over the best structure of this formula in the dataset (meV/atom): 0
Crystal system: monoclinic

a b c (Å): 6.128 6.175 10.585
angles (deg): 90.00 124.92 90.00
Positions (direct):
K 0.241 0.032 0.249
K 0.241 0.468 0.749
K 0.759 0.532 0.251
K 0.759 0.968 0.751
Li 0.000 0.000 0.500
Li 0.000 0.500 0.000
Nd 0.500 0.000 0.000
Nd 0.500 0.500 0.500
F 0.170 0.221 0.965
F 0.170 0.279 0.465
F 0.243 0.707 0.964
F 0.243 0.793 0.464
F 0.309 0.018 0.741
F 0.309 0.482 0.241
F 0.691 0.518 0.759
F 0.691 0.982 0.259
F 0.757 0.207 0.536
F 0.757 0.293 0.036
F 0.830 0.721 0.535
F 0.830 0.779 0.035


No. 8
Density functional theory data (PBE-GGA) for crystalline Zr2GeP2 at its relaxed geometry.

Calculated values
Excess energy over the best structure of this formula in the dataset (meV/atom): 62
Crystal system: tetragonal

a b c (Å): 7.194 7.194 3.458
angles (deg): 90.00 90.00 90.00
Positions (direct):
Zr 0.157 0.343 0.000
Zr 0.343 0.843 0.000
Zr 0.657 0.157 0.000
Zr 0.843 0.657 0.000
Ge 0.000 0.000 0.500
Ge 0.500 0.500 0.500
P 0.137 0.637 0.500
P 0.363 0.137 0.500
P 0.637 0.863 0.500
P 0.863 0.363 0.500


Number 1: calculated volume 311.4 Å³ per cell. Number 2: calculated volume 418.6 Å³ per cell. Number 3: calculated volume 284.0 Å³ per cell. Number 4: calculated volume 69.2 Å³ per cell. Number 5: calculated volume 66.8 Å³ per cell. Number 6: calculated volume 112.5 Å³ per cell. Number 7: calculated volume 328.5 Å³ per cell. Number 8: calculated volume 178.9 Å³ per cell.